Entry 1:
Below is a relaxed MnCoP crystal, with properties calculated at the PBE level.

Cell: 5.883 3.451 6.677 Å, 90.00 90.00 90.00°
Sites, in units of the cell vectors:
Mn  0.028  0.250  0.168
Mn  0.472  0.750  0.668
Mn  0.528  0.250  0.332
Mn  0.972  0.750  0.832
Co  0.142  0.250  0.565
Co  0.358  0.750  0.065
Co  0.642  0.250  0.935
Co  0.858  0.750  0.435
P  0.234  0.750  0.374
P  0.266  0.250  0.874
P  0.734  0.750  0.126
P  0.766  0.250  0.626

Summary:
Uncorrected energy: -7.8667 eV/atom
Symmetry: Pnma
ΔE_f: -0.638 eV per atom
Total moment: 11.96 μB per cell

---

Entry 2:
Below is a relaxed SrInOs2W crystal, with properties calculated at the PBE level.

Cell: 4.776 4.776 5.692 Å, 90.00 90.00 90.00°
Sites, in units of the cell vectors:
Sr  0.000  0.000  0.000
In  0.500  0.500  0.000
Os  0.000  0.500  0.500
Os  0.500  0.000  0.500
W  0.000  0.000  0.500

Summary:
Uncorrected energy: -6.4606 eV/atom
Symmetry: P4/mmm
ΔE_f: 1.506 eV per atom
Total moment: 0.00 μB per cell

---

Entry 3:
Below is a relaxed V3SnC crystal, with properties calculated at the PBE level.

Cell: 6.805 3.009 7.373 Å, 90.00 112.33 90.00°
Sites, in units of the cell vectors:
V  0.009  0.250  0.157
V  0.348  0.750  0.422
V  0.379  0.250  0.099
V  0.621  0.750  0.901
V  0.652  0.250  0.578
V  0.991  0.750  0.843
Sn  0.244  0.250  0.685
Sn  0.756  0.750  0.315
C  0.193  0.750  0.126
C  0.807  0.250  0.874

Summary:
Uncorrected energy: -8.3573 eV/atom
Symmetry: P2_1/m
ΔE_f: -0.241 eV per atom
Total moment: 0.00 μB per cell